(1)
The following is a PBE-GGA calculation of a geometry-optimized SiTcGe2 structure, from the Open Quantum Materials Database.

Cell and atoms, written as POSCAR:
```
SiTcGe2
1.0
-2.5759 3.5954 0.4423
1.5054 3.5553 2.2025
0.9893 3.7281 -2.2090
Si Ge Tc
1 2 1
direct
0.2500 0.2500 0.2500
0.7500 0.7500 0.7500
0.5000 0.5000 0.5000
0.0000 0.0000 0.0000
```

Values from the calculation:
SG: F-43m

---

(2)
The following is a PBE-GGA calculation of a geometry-optimized SiTcGe structure, from the Open Quantum Materials Database.

Cell and atoms, written as POSCAR:
```
SiTcGe
1.0
0.0000 2.9327 2.9327
2.9327 0.0000 2.9327
2.9327 2.9327 0.0000
Si Tc Ge
1 1 1
direct
0.7500 0.7500 0.7500
0.0000 0.0000 0.0000
0.2500 0.2500 0.2500
```

Values from the calculation:
E above lowest polymorph in eV per atom: 0.0000
SG: F-43m

---

(3)
The following is a PBE-GGA calculation of a geometry-optimized Si2Tc2Ge structure, from the Open Quantum Materials Database.

Cell and atoms, written as POSCAR:
```
Si2Tc2Ge
1.0
-1.6901 1.6901 6.4157
1.6901 -1.6901 6.4157
1.6901 1.6901 -6.4157
Si Ge Tc
2 1 2
direct
0.7500 0.2500 0.5000
0.2500 0.7500 0.5000
0.0000 0.0000 0.0000
0.6106 0.6106 0.0000
0.3894 0.3894 0.0000
```

Values from the calculation:
SG: I4/mmm

---

no.,DFT total energy (eV per atom)
1,-5.86
2,-6.65
3,-7.51